No. 1
An optimized crystal structure of ScNiP2. Source: Alexandria, functional PBE-GGA.

Cell: 3.4265 3.9221 4.2404 Å, 90.00 90.00 90.00°
Last column: nearest neighbours and their distance in Å.
Space group Pmmm (No. 47)
One atom of each set of equivalent atoms:
Sc 0.0000 0.0000 0.0000 [1 per cell]  8 P 2.60-2.73, 4 Ni 2.89
Ni 0.0000 0.5000 0.5000 [1 per cell]  8 P 2.60-2.73, 4 Sc 2.89
P 0.5000 0.0000 0.5000 [1 per cell]  4 Ni 2.60, 4 Sc 2.73, 4 P 2.89
P 0.5000 0.5000 0.0000 [1 per cell]  4 Sc 2.60, 4 Ni 2.73, 4 P 2.89

Density = 4.83 g cm⁻³
Calculated formation energy = -0.539 eV per atom

No. 2
An optimized crystal structure of ScNi4P2. Source: Alexandria, functional PBE-GGA.

Cell: 6.9603 6.9603 3.5565 Å, 90.00 90.00 90.00°
Last column: nearest neighbours and their distance in Å.
Space group P4_2/mnm (No. 136)
One atom of each set of equivalent atoms:
Sc 0.0000 0.0000 0.0000 [2 per cell]  6 P 2.75-2.81, 8 Ni 2.97
Ni 0.0823 0.3325 0.5000 [8 per cell]  3 P 2.25-2.28, 1 Ni 2.46
P 0.2208 0.7792 0.5000 [4 per cell]  6 Ni 2.25-2.28

Density = 6.59 g cm⁻³
E above lowest polymorph = 0 meV/atom
Calculated formation energy = -0.823 eV per atom

No. 3
An optimized crystal structure of ScSi2NiP. Source: Alexandria, functional PBE-GGA.

Cell: 4.6561 4.6561 4.0959 Å, 90.00 90.00 90.00°
Last column: nearest neighbours and their distance in Å.
Space group P4/mmm (No. 123)
One atom of each set of equivalent atoms:
Sc 0.0000 0.0000 0.0000 [1 per cell]  8 Si 3.10, 4 Ni 3.29
Si 0.0000 0.5000 0.5000 [2 per cell]  2 P 2.33
Ni 0.5000 0.5000 0.0000 [1 per cell]  2 P 2.05
P 0.5000 0.5000 0.5000 [1 per cell]  2 Ni 2.05

Density = 3.57 g cm⁻³
Uncorrected formation energy = 235 meV/atom

No. 4
An optimized crystal structure of SmScNi2P2. Source: Alexandria, functional PBE-GGA.

Cell: 3.8723 3.8723 7.5400 Å, 90.00 90.00 120.00°
Last column: nearest neighbours and their distance in Å.
Space group P-3m1 (No. 164)
One atom of each set of equivalent atoms:
Sm 0.0000 0.0000 0.0000 [1 per cell]  6 P 3.01, 6 Ni 3.03
Sc 0.0000 0.0000 0.5000 [1 per cell]  6 Ni 2.82, 6 P 2.84
Ni 0.3333 0.6667 0.7286 [2 per cell]  3 P 2.24
P 0.3333 0.6667 0.2677 [2 per cell]  3 Ni 2.24

Density = 6.35 g cm⁻³
Calculated formation energy = -1.167 eV per atom

No. 5
An optimized crystal structure of TbScNi2P2. Source: Alexandria, functional PBE-GGA.

Cell: 3.8518 3.8518 7.4653 Å, 90.00 90.00 120.00°
Last column: nearest neighbours and their distance in Å.
Space group P-3m1 (No. 164)
One atom of each set of equivalent atoms:
Tb 0.0000 0.0000 0.0000 [1 per cell]  6 P 2.96, 6 Ni 2.99
Sc 0.0000 0.0000 0.5000 [1 per cell]  6 Ni 2.82, 6 P 2.84
Ni 0.3333 0.6667 0.7331 [2 per cell]  3 P 2.22
P 0.3333 0.6667 0.2627 [2 per cell]  3 Ni 2.22

Density = 6.63 g cm⁻³
Calculated formation energy = -1.183 eV per atom

No. 6
An optimized crystal structure of Zr2ScNiP. Source: Alexandria, functional PBE-GGA.

Cell: 4.9357 4.9357 4.6650 Å, 90.00 90.00 90.00°
Last column: nearest neighbours and their distance in Å.
Space group P4/mmm (No. 123)
One atom of each set of equivalent atoms:
Zr 0.0000 0.5000 0.0000 [2 per cell]  2 Sc 2.47
Sc 0.0000 0.0000 0.0000 [1 per cell]  2 P 2.33, 4 Zr 2.47
Ni 0.5000 0.5000 0.5000 [1 per cell]  8 Zr 3.40, 4 P 3.49
P 0.0000 0.0000 0.5000 [1 per cell]  2 Sc 2.33

Density = 4.63 g cm⁻³
Calculated formation energy = 1.098 eV per atom

No. 7
An optimized crystal structure of NiPSe3. Source: Alexandria, functional PBE-GGA.

Cell: 4.6459 4.6459 4.6459 Å, 90.00 90.00 90.00°
Last column: nearest neighbours and their distance in Å.
Space group Pm-3m (No. 221)
One atom of each set of equivalent atoms:
Ni 0.0000 0.0000 0.0000 [1 per cell]  6 Se 2.32
P 0.5000 0.5000 0.5000 [1 per cell]  12 Se 3.29
Se 0.0000 0.0000 0.5000 [3 per cell]  2 Ni 2.32

Density = 5.41 g cm⁻³
Uncorrected formation energy = 631 meV/atom

No. 8
An optimized crystal structure of NiPSe4. Source: Alexandria, functional PBE-GGA.

Cell: 7.8566 7.8566 7.8566 Å, 90.00 90.00 90.00°
Last column: nearest neighbours and their distance in Å.
Space group F-43m (No. 216)
One atom of each set of equivalent atoms:
Ni 0.0000 0.0000 0.0000 [4 per cell]  12 Se 3.26, 4 P 3.40
P 0.2500 0.2500 0.2500 [4 per cell]  12 Se 3.26, 4 Ni 3.40
Se 0.1252 0.1252 0.6252 [16 per cell]  6 Se 2.77-2.78

Density = 5.55 g cm⁻³
Uncorrected formation energy = 1097 meV/atom
E above lowest polymorph = 1219 meV/atom

No. 9
An optimized crystal structure of NiPSe. Source: Alexandria, functional PBE-GGA.

Cell: 3.3519 3.5911 4.8882 Å, 90.00 110.22 90.00°
Last column: nearest neighbours and their distance in Å.
Space group Pm (No. 6)
One atom of each set of equivalent atoms:
Ni 0.0000 0.0000 0.0000 [1 per cell]  2 P 2.18, 2 Se 2.39
P 0.8645 0.5000 0.7293 [1 per cell]  2 Ni 2.18, 2 Se 2.43-2.44
Se 0.1720 0.5000 0.3443 [1 per cell]  2 Ni 2.39, 2 P 2.43-2.44

Density = 5.07 g cm⁻³
Uncorrected formation energy = -44 meV/atom

No. 10
An optimized crystal structure of Ni3PSe. Source: Alexandria, functional PBE-GGA.

Cell: 4.2271 4.2271 4.2271 Å, 90.00 90.00 90.00°
Last column: nearest neighbours and their distance in Å.
Space group Pm-3m (No. 221)
One atom of each set of equivalent atoms:
Ni 0.0000 0.0000 0.5000 [3 per cell]  2 P 2.11
P 0.0000 0.0000 0.0000 [1 per cell]  6 Ni 2.11
Se 0.5000 0.5000 0.5000 [1 per cell]  12 Ni 2.99

Density = 6.29 g cm⁻³
Uncorrected formation energy = 187 meV/atom
E above lowest polymorph = 0 meV/atom

No. 11
An optimized crystal structure of Ni2PSe. Source: Alexandria, functional PBE-GGA.

Cell: 4.2144 4.2144 2.9949 Å, 90.00 90.00 90.00°
Last column: nearest neighbours and their distance in Å.
Space group P4/mmm (No. 123)
One atom of each set of equivalent atoms:
Ni 0.0000 0.5000 0.0000 [2 per cell]  4 Se 2.59, 4 P 2.59
P 0.0000 0.0000 0.5000 [1 per cell]  8 Ni 2.59
Se 0.5000 0.5000 0.5000 [1 per cell]  8 Ni 2.59

Density = 7.10 g cm⁻³
Uncorrected formation energy = 100 meV/atom
E above lowest polymorph = 380 meV/atom

No. 12
An optimized crystal structure of NiPSe4. Source: Alexandria, functional PBE-GGA.

Cell: 14.1694 3.4788 5.9288 Å, 90.00 112.27 90.00°
Last column: nearest neighbours and their distance in Å.
Space group C2/m (No. 12)
One atom of each set of equivalent atoms:
Ni 0.0000 0.0000 0.0000 [2 per cell]  6 Se 2.40-2.41
P 0.0000 0.5000 0.5000 [2 per cell]  6 Se 2.44-2.48
Se 0.1048 0.5000 0.2546 [4 per cell]  2 Ni 2.41, 1 P 2.44
Se 0.1091 0.0000 0.7729 [4 per cell]  1 Ni 2.40, 2 P 2.48

Density = 4.98 g cm⁻³
Uncorrected formation energy = -122 meV/atom
E above lowest polymorph = 0 meV/atom